1.
# PaSnS6

A relaxed PaSnS6 crystal (GGA-PBE, Alexandria via LeMat-Bulk).

Cell: 7.210 7.210 7.210 Å, 60.00 60.00 60.00°
Sites, in units of the cell vectors:
S1 0.752 0.752 0.248
S2 0.248 0.752 0.248
Pa1 0.500 0.500 0.500
S3 0.752 0.248 0.248
Sn1 0.000 0.000 0.000
S4 0.248 0.752 0.752
S5 0.248 0.248 0.752
S6 0.752 0.248 0.752

Properties
The uncorrected formation energy is -243 meV/atom. The space group is Fm-3m (225). The calculation puts the magnetization at 0.0 μB/cell.

***

2.
# PaSnTe2S

A relaxed PaSnTe2S crystal (GGA-PBE, Alexandria via LeMat-Bulk).

Cell: 4.426 4.426 14.520 Å, 90.00 90.00 90.00°
Each line ends with the local moment (μB).
Sites, in units of the cell vectors:
S1 0.000 0.000 0.500  -0.04
Te1 0.500 0.000 0.305  -0.03
Sn1 0.000 0.500 0.896  0.00
Pa1 0.000 0.500 0.385  0.95
Te2 0.500 0.000 0.843  -0.02
Te3 0.000 0.500 0.695  -0.03
Te4 0.000 0.500 0.157  -0.02
Pa2 0.500 0.000 0.615  0.95
S2 0.500 0.500 0.500  -0.04
Sn2 0.500 0.000 0.104  0.00

Properties
The uncorrected formation energy is -831 meV/atom. The space group is P4/nmm (129). The calculation puts the magnetization at 2.0 μB/cell.

***

3.
# PaTl2SnS6

A relaxed PaTl2SnS6 crystal (GGA-PBE, Alexandria via LeMat-Bulk).

Cell: 7.158 7.158 7.178 Å, 60.09 60.09 60.00°
Sites, in units of the cell vectors:
Sn1 0.319 0.319 0.043
Tl1 0.567 0.567 0.299
S1 0.078 0.472 0.791
S2 0.143 0.997 0.293
Pa1 0.819 0.819 0.544
S3 0.659 0.078 0.791
S4 0.997 0.566 0.293
Tl2 0.041 0.041 0.877
S5 0.472 0.659 0.791
S6 0.566 0.143 0.293

Properties
The uncorrected formation energy is -623 meV/atom. The space group is R3 (146). The calculation puts the magnetization at 0.0 μB/cell.

***

4.
# SrPa2S6

A relaxed SrPa2S6 crystal (GGA-PBE, Alexandria via LeMat-Bulk).

Cell: 6.998 6.998 6.237 Å, 90.02 90.02 119.95°
Sites, in units of the cell vectors:
S1 0.500 0.633 0.270
S2 0.500 0.367 0.730
S3 0.867 0.000 0.730
S4 0.867 0.367 0.270
Pa1 0.833 0.667 0.500
S5 0.133 0.633 0.730
Sr1 0.500 0.000 0.000
S6 0.133 0.000 0.270
Pa2 0.167 0.333 0.500

Properties
For the energy above the most stable polymorph in this dataset, the calculation gives 0.00 kJ/mol of atoms. The uncorrected formation energy is -1693 meV/atom. The space group is C2/m (12). The calculation puts the magnetization at 0.0 μB/cell.

***

5.
# Sr2Pa2S7

A relaxed Sr2Pa2S7 crystal (GGA-PBE, Alexandria via LeMat-Bulk).

Cell: 6.583 6.835 6.583 Å, 90.01 97.29 89.99°
Sites, in units of the cell vectors:
S1 0.000 0.241 0.500
Sr1 0.749 0.500 0.749
S2 0.000 0.000 0.000
S3 0.000 0.759 0.500
S4 0.500 0.241 0.000
Sr2 0.251 0.500 0.251
S5 0.500 0.759 0.000
Pa1 0.275 0.000 0.725
Pa2 0.725 0.000 0.275
S6 0.500 0.773 0.500
S7 0.500 0.227 0.500

Properties
The uncorrected formation energy is -1698 meV/atom. The space group is Cmmm (65). The calculation puts the magnetization at 0.0 μB/cell.

***

6.
# Sr2Pa3S8

A relaxed Sr2Pa3S8 crystal (GGA-PBE, Alexandria via LeMat-Bulk).

Cell: 4.723 9.710 8.632 Å, 124.22 90.00 90.00°
Each line ends with the local moment (μB).
Sites, in units of the cell vectors:
Pa1 0.000 0.724 0.000  0.86
S1 0.500 0.652 0.778  -0.03
Sr1 0.500 0.267 0.534  0.00
S2 0.000 0.107 0.213  -0.04
S3 0.000 0.893 0.787  -0.04
Pa2 0.500 0.000 0.000  0.90
Sr2 0.500 0.733 0.466  0.00
S4 0.500 0.875 0.223  -0.03
S5 0.500 0.125 0.777  -0.03
Pa3 0.000 0.276 0.000  0.86
S6 0.000 0.387 0.773  -0.02
S7 0.500 0.348 0.222  -0.03
S8 0.000 0.613 0.227  -0.02

Properties
For the energy above the most stable polymorph in this dataset, the calculation gives 2.53 kJ/mol of atoms. The uncorrected formation energy is -1731 meV/atom. The space group is Cmmm (65). The calculation puts the magnetization at 2.9 μB/cell.

***

7.
# Sr3PaS6

A relaxed Sr3PaS6 crystal (GGA-PBE, Alexandria via LeMat-Bulk).

Cell: 7.355 7.355 7.684 Å, 61.41 61.41 60.00°
Each line ends with the local moment (μB).
Sites, in units of the cell vectors:
S1 0.490 0.737 0.727  0.11
S2 0.046 0.490 0.727  0.11
Pa1 0.845 0.845 0.465  -0.04
S3 0.964 0.586 0.252  0.09
Sr1 0.145 0.145 0.566  0.01
S4 0.199 0.964 0.252  0.09
S5 0.586 0.199 0.252  0.09
S6 0.737 0.046 0.727  0.11
Sr2 0.352 0.352 0.945  0.00
Sr3 0.637 0.637 0.089  0.00

Properties
The uncorrected formation energy is -1715 meV/atom. The space group is R3 (146). The calculation puts the magnetization at 1.0 μB/cell.

***

8.
# Sr2PaS4

A relaxed Sr2PaS4 crystal (GGA-PBE, Alexandria via LeMat-Bulk).

Cell: 4.219 7.401 12.276 Å, 90.00 90.00 90.00°
Each line ends with the local moment (μB).
Sites, in units of the cell vectors:
Sr1 0.500 0.916 0.817  0.00
S1 0.500 0.768 0.547  -0.02
S2 0.000 0.633 0.796  -0.01
S3 0.500 0.732 0.047  -0.02
Pa1 0.000 0.500 0.000  0.97
S4 0.000 0.367 0.204  -0.01
Sr2 0.500 0.084 0.183  0.00
S5 0.500 0.232 0.453  -0.02
S6 0.000 0.867 0.296  -0.01
Pa2 0.000 0.000 0.500  0.97
Sr3 0.500 0.584 0.317  0.00
Sr4 0.500 0.416 0.683  0.00
S7 0.000 0.133 0.704  -0.01
S8 0.500 0.268 0.953  -0.02

Properties
The uncorrected formation energy is -1922 meV/atom. The space group is Pbam (55). The calculation puts the magnetization at 2.0 μB/cell.

***

9.
# SrPa2S6

A relaxed SrPa2S6 crystal (GGA-PBE, Alexandria via LeMat-Bulk).

Cell: 5.241 7.282 8.332 Å, 73.02 71.67 68.91°
Sites, in units of the cell vectors:
S1 0.028 0.142 0.802
S2 0.649 0.297 0.405
Sr1 0.000 0.500 0.500
S3 0.286 0.351 0.077
Pa1 0.178 0.747 0.897
S4 0.714 0.649 0.923
S5 0.972 0.858 0.198
S6 0.351 0.703 0.595
Pa2 0.822 0.253 0.103

Properties
For the energy above the most stable polymorph in this dataset, the calculation gives 6.63 kJ/mol of atoms. The uncorrected formation energy is -1625 meV/atom. The space group is C2/m (12). The calculation puts the magnetization at 0.0 μB/cell.

***

10.
# SrPaS3

A relaxed SrPaS3 crystal (GGA-PBE, Alexandria via LeMat-Bulk).

Cell: 4.099 7.552 15.896 Å, 90.00 90.00 90.00°
Each line ends with the local moment (μB).
Sites, in units of the cell vectors:
Sr1 0.250 0.120 0.207  0.01
S1 0.250 0.673 0.707  -0.01
S2 0.250 0.513 0.092  -0.03
Pa1 0.250 0.261 0.958  0.93
S3 0.750 0.487 0.908  -0.03
S4 0.250 0.173 0.793  -0.01
Pa2 0.750 0.739 0.042  0.93
S5 0.750 0.327 0.293  -0.01
S6 0.250 0.873 0.943  -0.03
Sr2 0.750 0.380 0.707  0.01
S7 0.750 0.627 0.443  -0.03
S8 0.750 0.127 0.057  -0.03
Sr3 0.750 0.880 0.793  0.01
Pa3 0.250 0.761 0.542  0.93
Sr4 0.250 0.620 0.293  0.01
S9 0.250 0.373 0.557  -0.03
Pa4 0.750 0.239 0.458  0.93
S10 0.750 0.827 0.207  -0.01
S11 0.250 0.013 0.408  -0.03
S12 0.750 0.987 0.592  -0.03

Properties
The uncorrected formation energy is -1842 meV/atom. The space group is Pnma (62). The calculation puts the magnetization at 4.1 μB/cell.

***

11.
# SrPa3S7

A relaxed SrPa3S7 crystal (GGA-PBE, Alexandria via LeMat-Bulk).

Cell: 6.608 7.059 6.608 Å, 105.59 94.68 105.59°
Each line ends with the local moment (μB).
Sites, in units of the cell vectors:
Pa1 0.225 0.000 0.775  0.97
Pa2 0.775 0.000 0.225  0.97
S1 0.852 0.759 0.852  -0.03
S2 0.951 0.742 0.378  -0.03
S3 0.378 0.742 0.951  -0.03
S4 0.049 0.258 0.622  -0.03
S5 0.622 0.258 0.049  -0.03
S6 0.500 0.000 0.500  -0.03
Sr1 0.500 0.500 0.500  0.01
S7 0.148 0.241 0.148  -0.03
Pa3 0.000 0.500 0.000  0.88

Properties
The uncorrected formation energy is -1625 meV/atom. The space group is C2/m (12). The calculation puts the magnetization at 3.0 μB/cell.

***

12.
# Sr3Pa4S12

A relaxed Sr3Pa4S12 crystal (GGA-PBE, Alexandria via LeMat-Bulk).

Cell: 8.954 8.954 8.954 Å, 109.47 109.47 109.47°
Each line ends with the local moment (μB).
Sites, in units of the cell vectors:
Pa1 0.500 0.500 0.500  0.56
S1 0.911 0.213 0.698  -0.02
S2 0.213 0.698 0.911  -0.02
S3 0.698 0.486 0.787  -0.02
S4 0.787 0.302 0.089  -0.02
S5 0.089 0.787 0.302  -0.02
S6 0.698 0.911 0.213  -0.02
S7 0.302 0.089 0.787  -0.02
Sr1 0.500 0.000 0.500  0.00
S8 0.486 0.787 0.698  -0.02
S9 0.302 0.514 0.213  -0.02
S10 0.213 0.302 0.514  -0.02
S11 0.514 0.213 0.302  -0.02
Pa2 0.000 0.000 0.500  0.56
Sr2 0.000 0.500 0.500  0.00
Pa3 0.000 0.500 0.000  0.56
S12 0.787 0.698 0.486  -0.02
Sr3 0.500 0.500 0.000  0.00
Pa4 0.500 0.000 0.000  0.56

Properties
The uncorrected formation energy is -1716 meV/atom. The space group is Im-3 (204). The calculation puts the magnetization at 2.2 μB/cell.